i.
# NpF5

Crystalline NpF5 at its relaxed geometry (GGA-PBE, the Alexandria database).

Cell lengths 5.551, 5.551, 8.591 Å; angles 100.35, 104.88, 108.93 degrees
Site moments in Bohr magnetons follow the coordinates.
Fractional coordinates of all 12 atoms:
F1 0.783 0.133 0.124  -0.04
F2 0.786 0.625 0.992  -0.04
F3 0.712 0.962 0.750  -0.02
F4 0.867 0.206 0.492  -0.04
F5 0.288 0.038 0.250  -0.02
F6 0.491 0.340 0.624  -0.04
F7 0.214 0.375 0.008  -0.04
Np1 0.000 0.000 0.000  2.17
F8 0.133 0.794 0.508  -0.04
Np2 0.500 0.000 0.500  2.17
F9 0.217 0.867 0.876  -0.04
F10 0.509 0.660 0.376  -0.04

Computed properties:
- symmetry = C2/c

ii.
# NpF5

Crystalline NpF5 at its relaxed geometry (GGA-PBE, the Alexandria database).

Cell lengths 3.557, 6.157, 7.806 Å; angles 90.00, 90.00, 90.00 degrees
Site moments in Bohr magnetons follow the coordinates.
Fractional coordinates of all 12 atoms:
F1 0.500 0.710 0.413  -0.03
F2 0.000 0.515 0.750  -0.04
F3 0.500 0.053 0.250  -0.03
F4 0.000 0.485 0.250  -0.04
F5 0.500 0.947 0.750  -0.03
F6 0.500 0.290 0.587  -0.03
Np1 0.000 0.814 0.250  2.14
F7 0.500 0.290 0.913  -0.03
F8 0.500 0.710 0.087  -0.03
F9 0.000 0.000 0.500  -0.03
F10 0.000 0.000 0.000  -0.03
Np2 0.000 0.186 0.750  2.14

Computed properties:
- symmetry = Pmma

iii.
# NpF5

Crystalline NpF5 at its relaxed geometry (GGA-PBE, the Alexandria database).

Cell lengths 5.354, 5.354, 5.354 Å; angles 100.15, 100.15, 130.35 degrees
Site moments in Bohr magnetons follow the coordinates.
Fractional coordinates of all 6 atoms:
F1 0.101 0.724 0.825  -0.04
Np1 0.000 0.000 0.000  2.17
F2 0.724 0.899 0.624  -0.04
F3 0.276 0.101 0.376  -0.04
F4 0.899 0.276 0.175  -0.04
F5 0.500 0.500 0.000  -0.02

Computed properties:
- symmetry = I4/m

Winner for stability: iii